(1)
The following is a PBE-GGA calculation of a relaxed structure of ZrFeAs2Pd, from Alexandria.

Computed properties:
VASP energy   -30.66 eV/cell

CIF file:
```
data_ZrFeAs2Pd
_chemical_formula_sum 'Zr1 Fe1 As2 Pd1'
_cell_length_a 4.4483
_cell_length_b 4.4483
_cell_length_c 4.7758
_cell_angle_alpha 90.00
_cell_angle_beta 90.00
_cell_angle_gamma 90.00
_symmetry_space_group_name_H-M 'P 4/m m m'
_symmetry_Int_Tables_number 123
_symmetry_space_group_name_Hall '-P 4 2'
loop_
_atom_site_label
_atom_site_type_symbol
_atom_site_fract_x
_atom_site_fract_y
_atom_site_fract_z
Zr1 Zr 0.0000 0.0000 0.0000
Fe1 Fe 0.0000 0.0000 0.5000
As1 As 0.0000 0.5000 0.5000
Pd1 Pd 0.5000 0.5000 0.0000
```

***

(2)
The following is a PBE-GGA calculation of a relaxed structure of ZrSbAs, from Alexandria.

Computed properties:
Relative energy among the computed polymorphs   573 meV/atom
Formation energy from raw total energies   -0.1 eV per formula unit

CIF file:
```
data_ZrSbAs
_chemical_formula_sum 'Zr4 Sb4 As4'
_cell_length_a 6.6615
_cell_length_b 6.6615
_cell_length_c 6.6615
_cell_angle_alpha 90.00
_cell_angle_beta 90.00
_cell_angle_gamma 90.00
_symmetry_space_group_name_H-M 'F -4 3 m'
_symmetry_Int_Tables_number 216
_symmetry_space_group_name_Hall 'F -4 2 3'
loop_
_atom_site_label
_atom_site_type_symbol
_atom_site_fract_x
_atom_site_fract_y
_atom_site_fract_z
Zr1 Zr 0.0000 0.0000 0.0000
Sb1 Sb 0.0000 0.0000 0.5000
As1 As 0.2500 0.2500 0.2500
```

***

(3)
The following is a PBE-GGA calculation of a relaxed structure of Ce4Pu2Al3, from Alexandria.

Computed properties:
Relative energy among the computed polymorphs   13 meV/atom

CIF file:
```
data_Ce4Pu2Al3
_chemical_formula_sum 'Ce8 Pu4 Al6'
_cell_length_a 15.1219
_cell_length_b 4.4523
_cell_length_c 6.9538
_cell_angle_alpha 90.00
_cell_angle_beta 112.18
_cell_angle_gamma 90.00
_symmetry_space_group_name_H-M 'C 1 2/m 1'
_symmetry_Int_Tables_number 12
loop_
_symmetry_equiv_pos_as_xyz
'x,y,z'
'-x,-y,-z'
'-x,y,-z'
'x,-y,z'
'x+1/2,y+1/2,z'
'-x+1/2,-y+1/2,-z'
'-x+1/2,y+1/2,-z'
'x+1/2,-y+1/2,z'
loop_
_atom_site_label
_atom_site_type_symbol
_atom_site_fract_x
_atom_site_fract_y
_atom_site_fract_z
Ce1 Ce 0.0296 0.0000 0.3321
Ce2 Ce 0.2197 0.5000 0.2845
Pu1 Pu 0.1580 0.0000 0.9914
Al1 Al 0.0000 0.5000 0.0000
Al2 Al 0.1248 0.5000 0.6669
```

***

(4)
The following is a PBE-GGA calculation of a relaxed structure of PmPrNiAg, from Alexandria.

Computed properties:
VASP energy   -75.82 eV/cell

CIF file:
```
data_PmPrNiAg
_chemical_formula_sum 'Pm4 Pr4 Ni4 Ag4'
_cell_length_a 7.2821
_cell_length_b 7.2821
_cell_length_c 7.2821
_cell_angle_alpha 90.00
_cell_angle_beta 90.00
_cell_angle_gamma 90.00
_symmetry_space_group_name_H-M 'F -4 3 m'
_symmetry_Int_Tables_number 216
_symmetry_space_group_name_Hall 'F -4 2 3'
loop_
_atom_site_label
_atom_site_type_symbol
_atom_site_fract_x
_atom_site_fract_y
_atom_site_fract_z
Pm1 Pm 0.0000 0.0000 0.0000
Pr1 Pr 0.0000 0.0000 0.5000
Ni1 Ni 0.2500 0.2500 0.2500
Ag1 Ag 0.2500 0.2500 0.7500
```

***

(5)
The following is a PBE-GGA calculation of a relaxed structure of LiSiPb2, from Alexandria.

Computed properties:
Formation energy from raw total energies   1.0 eV per formula unit

CIF file:
```
data_LiSiPb2
_chemical_formula_sum 'Li4 Si4 Pb8'
_cell_length_a 7.3558
_cell_length_b 7.3558
_cell_length_c 7.3558
_cell_angle_alpha 90.00
_cell_angle_beta 90.00
_cell_angle_gamma 90.00
_symmetry_space_group_name_H-M 'F -4 3 m'
_symmetry_Int_Tables_number 216
_symmetry_space_group_name_Hall 'F -4 2 3'
loop_
_atom_site_label
_atom_site_type_symbol
_atom_site_fract_x
_atom_site_fract_y
_atom_site_fract_z
Li1 Li 0.0000 0.0000 0.0000
Si1 Si 0.2500 0.2500 0.2500
Pb1 Pb 0.0000 0.0000 0.5000
Pb2 Pb 0.2500 0.2500 0.7500
```

***

(6)
The following is a PBE-GGA calculation of a relaxed structure of CeGaHgBi, from Alexandria.

Computed properties:
Relative energy among the computed polymorphs   176 meV/atom

CIF file:
```
data_CeGaHgBi
_chemical_formula_sum 'Ce4 Ga4 Hg4 Bi4'
_cell_length_a 7.5222
_cell_length_b 7.5222
_cell_length_c 7.5222
_cell_angle_alpha 90.00
_cell_angle_beta 90.00
_cell_angle_gamma 90.00
_symmetry_space_group_name_H-M 'F -4 3 m'
_symmetry_Int_Tables_number 216
_symmetry_space_group_name_Hall 'F -4 2 3'
loop_
_atom_site_label
_atom_site_type_symbol
_atom_site_fract_x
_atom_site_fract_y
_atom_site_fract_z
Ce1 Ce 0.0000 0.0000 0.0000
Ga1 Ga 0.2500 0.2500 0.7500
Hg1 Hg 0.2500 0.2500 0.2500
Bi1 Bi 0.0000 0.0000 0.5000
```